Below is TbMgZr2Ir4 after structural relaxation, with properties calculated at the PBE level.

Output
final energy	-64.488	eV per formula unit
E_form	-0.715	eV/atom
DOS at the Fermi energy	5.96	states/eV/f.u.

abc: 4.6572 4.6572 23.0830
angles: 90.00 90.00 120.00
Space group R-3m (No. 166, hexagonal axes)
Symmetry-distinct sites (fractional):
Tb (0.0000, 0.0000, 0.0000) (multiplicity 3)
Mg (0.0000, 0.0000, 0.5000) (multiplicity 3)
Zr (0.0000, 0.0000, 0.2446) (multiplicity 6)
Ir (0.0000, 0.0000, 0.1255) (multiplicity 6)
Ir (0.0000, 0.0000, 0.3781) (multiplicity 6)



Below is Mg2TcIr after structural relaxation, with properties calculated at the PBE level.

Output
final energy	-22.233	eV per formula unit
E_form	0.046	eV/atom
DOS at the Fermi energy	4.44	states/eV/f.u.
energy above the most stable polymorph in this dataset	170	meV per atom

abc: 2.762 2.762 8.319
angles: 90.00 90.00 90.00
Space group P4/mmm (No. 123)
Symmetry-distinct sites (fractional):
Mg (0.000, 0.000, 0.234) (multiplicity 2)
Tc (0.500, 0.500, 0.500) (multiplicity 1)
Ir (0.500, 0.500, 0.000) (multiplicity 1)



Below is Mg2TcIr after structural relaxation, with properties calculated at the PBE level.

Output
final energy	-22.163	eV per formula unit
E_form	0.063	eV/atom
DOS at the Fermi energy	3.23	states/eV/f.u.
energy above the most stable polymorph in this dataset	187	meV per atom

abc: 3.001 4.503 4.674
angles: 90.00 90.00 90.00
Space group Pmmm (No. 47)
Symmetry-distinct sites (fractional):
Mg (0.000, 0.000, 0.000) (multiplicity 1)
Mg (0.500, 0.000, 0.500) (multiplicity 1)
Tc (0.000, 0.500, 0.500) (multiplicity 1)
Ir (0.500, 0.500, 0.000) (multiplicity 1)



> Which of these has the highest E_form?

number 3